Density functional theory data (PBE-GGA) for an optimized crystal structure of CdBiAsO.

The structure in POSCAR format:
```
CdBiAsO
1.0
-3.777 5.038 -0.993
0.592 -1.026 -7.456
-6.229 -4.641 0.144
O As Cd Bi
4 4 4 4
Direct
0.629 0.014 0.873
0.371 0.486 0.373
0.871 0.514 0.127
0.129 0.986 0.627
0.113 0.929 0.137
0.387 0.429 0.863
0.613 0.071 0.363
0.887 0.571 0.637
0.778 0.911 0.633
0.222 0.589 0.133
0.278 0.089 0.867
0.722 0.411 0.367
0.196 0.162 0.412
0.804 0.338 0.912
0.696 0.838 0.088
0.304 0.662 0.588
```

symmetry: P2_12_12_1
relative energy among the computed polymorphs: 0.000 eV/atom

---

Density functional theory data (PBE-GGA) for an optimized crystal structure of GaIr2Pd.

The structure in POSCAR format:
```
GaIr2Pd
1.0
0.000 3.106 3.106
3.106 0.000 3.106
3.106 3.106 0.000
Pd Ir Ga
1 2 1
Direct
0.250 0.250 0.250
0.000 0.000 0.000
0.750 0.750 0.750
0.500 0.500 0.500
```

symmetry: F-43m
electronic total energy: -6.449 eV/atom

---

Density functional theory data (PBE-GGA) for an optimized crystal structure of Nb3Ni5Bi5.

The structure in POSCAR format:
```
Nb3Ni5Bi5
1.0
6.679 -3.063 0.000
6.679 3.063 0.000
-6.659 0.000 6.767
Bi Nb Ni
5 3 5
Direct
0.080 0.499 0.409
0.313 0.687 0.000
0.702 0.102 0.232
0.898 0.298 0.768
0.501 0.920 0.591
0.810 0.190 0.000
0.197 0.599 0.201
0.401 0.803 0.799
0.128 0.032 0.276
0.506 0.494 0.500
0.380 0.235 0.919
0.765 0.620 0.081
0.968 0.872 0.724
```

symmetry: C2
electronic total energy: -6.058 eV/atom

---

| no. | theoretical density (g cm⁻³) |
| --- | --- |
| 1 | 7.3 |
| 2 | 15.5 |
| 3 | 9.7 |